# PBE-GGA Li3PdAu2, relaxed
# Calculated formation energy in eV/atom: -0.491
# Total magnetic moment in Bohr magnetons per cell: 0.000
# SG: No. 11
# Energy above the most stable polymorph in this dataset in meV/atom: 0.0
data_Li3PdAu2
_space_group_name_H-M_alt 'P 1'
_space_group_IT_number 1
_cell_length_a 5.3803
_cell_length_b 4.1017
_cell_length_c 8.2186
_cell_angle_alpha 90.00
_cell_angle_beta 93.26
_cell_angle_gamma 90.00
loop_
_space_group_symop_operation_xyz
'x,y,z'
loop_
_atom_site_label
_atom_site_fract_x
_atom_site_fract_y
_atom_site_fract_z
_atom_site_occupancy
Li1 0.0932 0.2500 0.2471 1
Li2 0.1678 0.2500 0.5928 1
Li3 0.3652 0.7500 0.0840 1
Li4 0.6348 0.2500 0.9160 1
Li5 0.8322 0.7500 0.4072 1
Li6 0.9068 0.7500 0.7529 1
Pd1 0.4040 0.7500 0.7564 1
Pd2 0.5960 0.2500 0.2436 1
Au1 0.1418 0.2500 0.9185 1
Au2 0.3358 0.7500 0.4110 1
Au3 0.6642 0.2500 0.5890 1
Au4 0.8582 0.7500 0.0815 1

***

# PBE-GGA Li6PdAu10, relaxed
# Calculated formation energy in eV/atom: -0.384
# Total magnetic moment in Bohr magnetons per cell: 0.000
# SG: No. 162
data_Li6PdAu10
_space_group_name_H-M_alt 'P 1'
_space_group_IT_number 1
_cell_length_a 7.6510
_cell_length_b 7.6510
_cell_length_c 5.4769
_cell_angle_alpha 90.00
_cell_angle_beta 90.00
_cell_angle_gamma 120.00
loop_
_space_group_symop_operation_xyz
'x,y,z'
loop_
_atom_site_label
_atom_site_fract_x
_atom_site_fract_y
_atom_site_fract_z
_atom_site_occupancy
Li1 0.0000 0.3614 0.3122 1
Li2 0.0000 0.6386 0.6878 1
Li3 0.3614 0.0000 0.3122 1
Li4 0.3614 0.3614 0.6878 1
Li5 0.6386 0.0000 0.6878 1
Li6 0.6386 0.6386 0.3122 1
Pd1 0.0000 0.0000 0.5000 1
Au1 0.0000 0.2884 0.8147 1
Au2 0.0000 0.7116 0.1853 1
Au3 0.2884 0.0000 0.8147 1
Au4 0.2884 0.2884 0.1853 1
Au5 0.3333 0.6667 0.0000 1
Au6 0.3333 0.6667 0.5000 1
Au7 0.6667 0.3333 0.0000 1
Au8 0.6667 0.3333 0.5000 1
Au9 0.7116 0.0000 0.1853 1
Au10 0.7116 0.7116 0.8147 1

***

# PBE-GGA LiPdAu, relaxed
# Calculated formation energy in eV/atom: -0.388
# Total magnetic moment in Bohr magnetons per cell: 0.000
# SG: No. 9
# Energy above the most stable polymorph in this dataset in meV/atom: 44.4
data_LiPdAu
_space_group_name_H-M_alt 'P 1'
_space_group_IT_number 1
_cell_length_a 4.8549
_cell_length_b 4.8549
_cell_length_c 5.4757
_cell_angle_alpha 117.95
_cell_angle_beta 117.95
_cell_angle_gamma 60.03
loop_
_space_group_symop_operation_xyz
'x,y,z'
loop_
_atom_site_label
_atom_site_fract_x
_atom_site_fract_y
_atom_site_fract_z
_atom_site_occupancy
Li1 0.0918 0.9082 0.5000 1
Li2 0.9082 0.0918 0.0000 1
Pd1 0.2457 0.4152 0.9972 1
Pd2 0.4152 0.2457 0.4972 1
Au1 0.5773 0.7560 0.0027 1
Au2 0.7560 0.5773 0.5027 1

***

# PBE-GGA Li3Pd5Au2, relaxed
# Calculated formation energy in eV/atom: -0.145
# Total magnetic moment in Bohr magnetons per cell: 0.000
# SG: No. 72
data_Li3Pd5Au2
_space_group_name_H-M_alt 'P 1'
_space_group_IT_number 1
_cell_length_a 8.3438
_cell_length_b 8.3438
_cell_length_c 8.3438
_cell_angle_alpha 107.68
_cell_angle_beta 83.66
_cell_angle_gamma 143.78
loop_
_space_group_symop_operation_xyz
'x,y,z'
loop_
_atom_site_label
_atom_site_fract_x
_atom_site_fract_y
_atom_site_fract_z
_atom_site_occupancy
Li1 0.1637 0.7023 0.8660 1
Li2 0.2500 0.2500 0.0000 1
Li3 0.3363 0.2023 0.5386 1
Li4 0.6637 0.7977 0.4614 1
Li5 0.7500 0.7500 0.0000 1
Li6 0.8363 0.2977 0.1340 1
Pd1 0.1622 0.0862 0.2484 1
Pd2 0.2500 0.0137 0.7637 1
Pd3 0.2500 0.4863 0.2363 1
Pd4 0.2500 0.7500 0.5000 1
Pd5 0.3378 0.5862 0.9240 1
Pd6 0.6622 0.4138 0.0760 1
Pd7 0.7500 0.2500 0.5000 1
Pd8 0.7500 0.5137 0.7637 1
Pd9 0.7500 0.9863 0.2363 1
Pd10 0.8378 0.9138 0.7516 1
Au1 0.1817 0.3861 0.5678 1
Au2 0.3183 0.8861 0.2044 1
Au3 0.6817 0.1139 0.7956 1
Au4 0.8183 0.6139 0.4322 1

***

# PBE-GGA Li8Pd2Au, relaxed
# Calculated formation energy in eV/atom: -0.257
# Total magnetic moment in Bohr magnetons per cell: 0.000
# SG: No. 12
# Energy above the most stable polymorph in this dataset in meV/atom: 82.4
data_Li8Pd2Au
_space_group_name_H-M_alt 'P 1'
_space_group_IT_number 1
_cell_length_a 6.9340
_cell_length_b 6.9340
_cell_length_c 4.5666
_cell_angle_alpha 100.98
_cell_angle_beta 100.98
_cell_angle_gamma 117.09
loop_
_space_group_symop_operation_xyz
'x,y,z'
loop_
_atom_site_label
_atom_site_fract_x
_atom_site_fract_y
_atom_site_fract_z
_atom_site_occupancy
Li1 0.0772 0.3173 0.6127 1
Li2 0.2239 0.7761 0.0000 1
Li3 0.3173 0.0772 0.6127 1
Li4 0.3793 0.3793 0.1951 1
Li5 0.6207 0.6207 0.8049 1
Li6 0.6827 0.9228 0.3873 1
Li7 0.7761 0.2239 0.0000 1
Li8 0.9228 0.6827 0.3873 1
Pd1 0.3149 0.6851 0.5000 1
Pd2 0.6851 0.3149 0.5000 1
Au1 0.0000 0.0000 0.0000 1

***

# PBE-GGA LiPdAu, relaxed
# Calculated formation energy in eV/atom: -0.413
# Total magnetic moment in Bohr magnetons per cell: 0.000
# SG: No. 38
# Energy above the most stable polymorph in this dataset in meV/atom: 19.2
data_LiPdAu
_space_group_name_H-M_alt 'P 1'
_space_group_IT_number 1
_cell_length_a 4.6016
_cell_length_b 4.8464
_cell_length_c 4.8464
_cell_angle_alpha 119.42
_cell_angle_beta 90.00
_cell_angle_gamma 90.00
loop_
_space_group_symop_operation_xyz
'x,y,z'
loop_
_atom_site_label
_atom_site_fract_x
_atom_site_fract_y
_atom_site_fract_z
_atom_site_occupancy
Li1 0.0000 0.1688 0.8312 1
Li2 0.0000 0.8312 0.1688 1
Pd1 0.5000 0.4992 0.8338 1
Pd2 0.5000 0.8338 0.4992 1
Au1 0.0000 0.5095 0.5095 1
Au2 0.5000 0.1623 0.1623 1

***

Q: Which of these has the highest calculated formation energy?
A: Li3Pd5Au2

***

Q: What is the total magnetic moment in the fifth record?
A: 0.000 Bohr magnetons per cell

***

Q: What is the total magnetic moment in the sixth record?
A: 0.000 Bohr magnetons per cell